The following is a PBE calculation of a relaxed Mg6ZrV crystal, from Alexandria via LeMat-Bulk.

Computed properties:
Energy relative to the elements in eV/atom: 0.191
Space group: Amm2, No. 38
E in Ry/atom: -0.236
Energy above the most stable polymorph in this dataset in meV/atom: 33

```
Mg6ZrV
1.0
3.055 -5.589 0.000
3.055 5.589 0.000
0.000 0.000 5.059
Mg V Zr
6 1 1
Direct
0.826 0.670 0.500
0.182 0.818 0.000
0.671 0.329 0.000
0.168 0.336 0.000
0.330 0.174 0.500
0.664 0.832 0.000
0.333 0.667 0.500
0.827 0.173 0.500
```